(1)
# ScMo2Ir GGA-PBE relaxed
data_ScMo2Ir
_chemical_formula_sum 'Sc1 Mo2 Ir1'
_cell_length_a 4.6144
_cell_length_b 2.8085
_cell_length_c 5.1453
_cell_angle_alpha 77.62
_cell_angle_beta 90.00
_cell_angle_gamma 90.00
_symmetry_space_group_name_H-M 'P 1'
_symmetry_Int_Tables_number 1
loop_
_symmetry_equiv_pos_as_xyz
'x,y,z'
loop_
_atom_site_label
_atom_site_fract_x
_atom_site_fract_y
_atom_site_fract_z
_atom_site_occupancy
Ir1 0.5000 0.7500 0.7500 1
Mo1 0.0000 0.9873 0.0049 1
Mo2 0.0000 0.5127 0.4951 1
Sc1 0.5000 0.2500 0.2500 1
# Symmetry ... P2/m (10)
# Energy of formation ... -49 kJ/mol of formula units
# Energy above the lowest structure with this stoichiometry ... 135 meV per atom
# Calculated total energy ... -37.363 eV for the cell shown
# Magnetization ... 0.0 μB/f.u.


(2)
# Tl4In5Ga GGA-PBE relaxed
data_Tl4In5Ga
_chemical_formula_sum 'Tl4 In5 Ga1'
_cell_length_a 6.4952
_cell_length_b 7.4460
_cell_length_c 7.4460
_cell_angle_alpha 79.03
_cell_angle_beta 64.14
_cell_angle_gamma 64.14
_symmetry_space_group_name_H-M 'P 1'
_symmetry_Int_Tables_number 1
loop_
_symmetry_equiv_pos_as_xyz
'x,y,z'
loop_
_atom_site_label
_atom_site_fract_x
_atom_site_fract_y
_atom_site_fract_z
_atom_site_occupancy
Tl1 0.8693 0.6296 0.7358 1
Tl2 0.6051 0.2642 0.6296 1
Tl3 0.4990 0.7358 0.3704 1
Tl4 0.2347 0.3704 0.2642 1
In1 0.2662 0.6653 0.8815 1
In2 0.1477 0.1185 0.6653 1
In3 0.9315 0.8815 0.3347 1
In4 0.8131 0.3347 0.1185 1
In5 0.3501 0.0000 0.0000 1
Ga1 0.7729 0.0000 0.0000 1
# Symmetry ... I4 (79)
# Energy of formation ... 64 kJ/mol of formula units
# Calculated total energy ... -25.522 eV for the cell shown
# Magnetization ... 0.0 μB/f.u.


no.,N(E_F) (states/eV/atom)
1,0.674
2,0.435